# 1
Here is an optimized crystal structure of Si2TcSb from OQMD. Energies are from PBE.

- DFT total energy: -93.60 eV for the cell shown
- Spin magnetization: 0.00 μB per atom

Cell lengths 6.4238, 6.4238, 6.4238 Å; angles 90.00, 90.00, 90.00 degrees
Space group F-43m (No. 216)
Inequivalent atoms, fractional coordinates:
Si  0.0000  0.0000  0.0000
Si  0.2500  0.2500  0.2500
Tc  0.0000  0.0000  0.5000
Sb  0.2500  0.2500  0.7500



# 2
Here is an optimized crystal structure of YTaBeOs from OQMD. Energies are from PBE.

- DFT total energy: -131.89 eV for the cell shown
- Spin magnetization: 0.01 μB per atom

Cell lengths 6.5186, 6.5186, 6.5186 Å; angles 90.00, 90.00, 90.00 degrees
Space group F-43m (No. 216)
Inequivalent atoms, fractional coordinates:
Y  0.0000  0.0000  0.0000
Ta  0.0000  0.0000  0.5000
Be  0.2500  0.2500  0.2500
Os  0.2500  0.2500  0.7500



# 3
Here is an optimized crystal structure of TcBiPO from OQMD. Energies are from PBE.

- DFT total energy: -52.55 eV for the cell shown
- Spin magnetization: 0.00 μB per atom

Cell lengths 3.2797, 6.9235, 7.2598 Å; angles 90.00, 90.00, 90.00 degrees
Space group Pmc2_1 (No. 26)
Inequivalent atoms, fractional coordinates:
Tc  0.0000  0.0523  0.0000
Bi  0.5000  0.3333  0.5644
P  0.5000  0.2811  0.9366
O  0.0000  0.0451  0.2558